First-principles (PBE) data for a relaxed structure of Pr2GeAsPd6, as listed in Alexandria.

Lattice parameters (Å, degrees): 5.492 6.649 6.650 81.97 65.73 65.71
Space group P-1 (No. 2)
Unique sites:
Pr 0.021 0.226 0.230 [2 per cell]
Ge 0.500 0.500 0.000 [1 per cell]
As 0.500 0.000 0.500 [1 per cell]
Pd 0.002 0.764 0.230 [2 per cell]
Pd 0.346 0.404 0.402 [2 per cell]
Pd 0.497 0.235 0.771 [2 per cell]

ΔE_f (meV per atom): -685.7
Magnetization (μB per atom): 0.000